Compound: KLa2Mn
Source: Alexandria
Functional: PBE
Structure: relaxed

- relative energy among the computed polymorphs (meV/atom) = 278
- formation enthalpy at 0 K (kcal/mol of atoms) = 12.58

a = 6.882 Å, b = 6.882 Å, c = 6.882 Å
α = 148.42°, β = 123.28°, γ = 66.39°
Site moments in Bohr magnetons follow the coordinates.
Positions (direct):
La 0.936 0.936 0.000  -0.29
K 0.250 0.750 0.500  -0.01
La 0.564 0.564 0.000  -0.29
Mn 0.750 0.250 0.500  2.88